Computed, not measured: a PBEsol-optimized structure of CrAs2Ru at the SCAN level of DFT.

The structure in POSCAR format:
```
CrAs2Ru
1.0
2.830 0.000 0.000
0.000 2.830 0.000
0.000 0.000 7.570
As Cr Ru
2 1 1
Direct
0.000 0.000 0.944
0.500 0.500 0.309
0.000 0.000 0.517
0.500 0.500 0.731
```

Summary:
* spin magnetization: 0.556 μB per atom
* polymorph energy (0 for the lowest one): 0.528 eV per formula unit
* density of states at the Fermi level: 1.864 states/eV/cell
* ΔH_f (0 K): -1.0 kcal/mol of atoms
* symmetry: P4mm
* final energy: -93.771 eV for the cell shown